(1)
Computed, not measured: ErCuSn at its PBEsol-relaxed geometry at the SCAN level of DFT.

```
ErCuSn
1.0
4.4499 0.0000 0.0000
-2.2250 3.8538 0.0000
0.0000 0.0000 7.0852
Er Cu Sn
2 2 2
Cartesian
0.0000 0.0000 0.0000
0.0000 0.0000 3.5426
0.0000 2.5692 2.3028
2.2250 1.2846 5.8454
0.0000 2.5692 5.1776
2.2250 1.2846 1.6350
```

Properties
Calculated density (g/cm3): 9.55
Symmetry: P6_3mc
Total magnetization (μB per cell): 0.0
Crystal system: hexagonal
Calculated formation energy (eV/atom): -0.7074



(2)
Computed, not measured: Er2CuTc at its PBEsol-relaxed geometry at the SCAN level of DFT.

```
Er2CuTc
1.0
0.0000 3.3485 3.3485
3.3485 0.0000 3.3485
3.3485 3.3485 0.0000
Er Cu Tc
2 1 1
Cartesian
1.6743 1.6743 1.6743
5.0228 5.0228 5.0228
0.0000 0.0000 0.0000
3.3485 3.3485 3.3485
```

Properties
Calculated density (g/cm3): 10.97
Symmetry: Fm-3m
Total magnetization (μB per cell): 0.0
Crystal system: cubic
Calculated formation energy (eV/atom): -0.1938



How do the records compare in DFT total energy? In the order shown, they have -34.53, -37.93 eV/atom.